(1)
Entry from Alexandria via LeMat-Bulk: a relaxed structure of NaDySe2 (PBE-GGA).

Values from the calculation:
- space-group type = R3m
- ΔE to the lowest computed polymorph (eV/atom) = 0.1180
- VASP energy (eV/cell) = -57.7
- raw formation energy (eV/atom) = -1.589

Unit cell a=4.0293 b=4.0293 c=22.2557 alpha=90.00 beta=90.00 gamma=120.00
Last column: nearest neighbours and their distance in Å.
Fractional positions:
Na  0.0000  0.0000  0.0000  6 Se 3.02-3.08
Na  0.3333  0.6667  0.6667  6 Se 3.02-3.08
Na  0.6667  0.3333  0.3333  6 Se 3.02-3.08
Dy  0.0000  0.0000  0.1691  6 Se 2.90-2.91
Dy  0.3333  0.6667  0.8358  6 Se 2.90-2.91
Dy  0.6667  0.3333  0.5025  6 Se 2.90-2.91
Se  0.0000  0.0000  0.4242  3 Dy 2.91, 3 Na 3.08
Se  0.0000  0.0000  0.5804  3 Dy 2.90, 3 Na 3.02
Se  0.3333  0.6667  0.0909  3 Dy 2.91, 3 Na 3.08
Se  0.3333  0.6667  0.2471  3 Dy 2.90, 3 Na 3.02
Se  0.6667  0.3333  0.7575  3 Dy 2.91, 3 Na 3.08
Se  0.6667  0.3333  0.9138  3 Dy 2.90, 3 Na 3.02



(2)
Entry from Alexandria via LeMat-Bulk: a relaxed structure of Pa2AgP2N6 (PBE-GGA).

Values from the calculation:
- space-group type = P-1
- VASP energy (eV/cell) = -90.3
- raw formation energy (eV/atom) = -0.699

Unit cell a=5.6083 b=6.0957 c=6.4751 alpha=91.64 beta=114.28 gamma=116.32
Last column: nearest neighbours and their distance in Å.
Fractional positions:
Pa  0.1540  0.1800  0.3107  6 N 2.22-2.43
Pa  0.8460  0.8200  0.6893  6 N 2.22-2.43
Ag  0.5000  0.5000  0.0000  2 P 2.51
P  0.3945  0.7755  0.2022  3 N 1.63-1.65
P  0.6055  0.2245  0.7978  3 N 1.63-1.65
N  0.1617  0.8816  0.0833  1 P 1.63
N  0.2511  0.0001  0.6357  1 P 1.65
N  0.3261  0.5940  0.3776  1 P 1.65
N  0.6739  0.4060  0.6224  1 P 1.65
N  0.7489  0.9999  0.3643  1 P 1.65
N  0.8383  0.1184  0.9167  1 P 1.63